Record 1
Compound: Sm2Er8Sc
Source: Alexandria
Functional: PBE-GGA
Structure: relaxed

CIF file:
```
data_Sm2Er8Sc
_chemical_formula_sum 'Sm2 Er8 Sc1'
_cell_length_a 9.286
_cell_length_b 9.286
_cell_length_c 7.850
_cell_angle_alpha 104.72
_cell_angle_beta 104.72
_cell_angle_gamma 30.92
_symmetry_space_group_name_H-M 'P 1'
_symmetry_Int_Tables_number 1
_symmetry_space_group_name_Hall 'P 1'
loop_
_atom_site_label
_atom_site_type_symbol
_atom_site_fract_x
_atom_site_fract_y
_atom_site_fract_z
Sm1 Sm 0.226 0.226 0.137
Sm2 Sm 0.774 0.774 0.863
Er1 Er 0.044 0.044 0.230
Er2 Er 0.134 0.134 0.677
Er3 Er 0.320 0.320 0.591
Er4 Er 0.411 0.411 0.050
Er5 Er 0.589 0.589 0.950
Er6 Er 0.680 0.680 0.409
Er7 Er 0.866 0.866 0.323
Er8 Er 0.956 0.956 0.770
Sc1 Sc 0.500 0.500 0.500
```

Its energy above the most stable polymorph in this dataset is 0.00 eV per formula unit. The formation enthalpy at 0 K is 32 meV/atom.

Record 2
Compound: SmEr12Sc6
Source: Alexandria
Functional: PBE-GGA
Structure: relaxed

CIF file:
```
data_SmEr12Sc6
_chemical_formula_sum 'Sm1 Er12 Sc6'
_cell_length_a 8.986
_cell_length_b 8.986
_cell_length_c 8.986
_cell_angle_alpha 109.47
_cell_angle_beta 109.47
_cell_angle_gamma 109.47
_symmetry_space_group_name_H-M 'P 1'
_symmetry_Int_Tables_number 1
_symmetry_space_group_name_Hall 'P 1'
loop_
_atom_site_label
_atom_site_type_symbol
_atom_site_fract_x
_atom_site_fract_y
_atom_site_fract_z
Sm1 Sm 0.000 0.000 0.000
Er1 Er 0.070 0.266 0.804
Er2 Er 0.196 0.463 0.266
Er3 Er 0.196 0.930 0.734
Er4 Er 0.266 0.196 0.463
Er5 Er 0.266 0.804 0.070
Er6 Er 0.463 0.266 0.196
Er7 Er 0.537 0.734 0.804
Er8 Er 0.734 0.196 0.930
Er9 Er 0.734 0.804 0.537
Er10 Er 0.804 0.070 0.266
Er11 Er 0.804 0.537 0.734
Er12 Er 0.930 0.734 0.196
Sc1 Sc 0.138 0.500 0.638
Sc2 Sc 0.362 0.862 0.500
Sc3 Sc 0.500 0.362 0.862
Sc4 Sc 0.500 0.638 0.138
Sc5 Sc 0.638 0.138 0.500
Sc6 Sc 0.862 0.500 0.362
```

The formation enthalpy at 0 K is 245 meV/atom.

Record 3
Compound: Sm8Er3Sc
Source: Alexandria
Functional: PBE-GGA
Structure: relaxed

CIF file:
```
data_Sm8Er3Sc
_chemical_formula_sum 'Sm8 Er3 Sc1'
_cell_length_a 8.397
_cell_length_b 8.397
_cell_length_c 8.397
_cell_angle_alpha 118.11
_cell_angle_beta 118.11
_cell_angle_gamma 93.31
_symmetry_space_group_name_H-M 'P 1'
_symmetry_Int_Tables_number 1
_symmetry_space_group_name_Hall 'P 1'
loop_
_atom_site_label
_atom_site_type_symbol
_atom_site_fract_x
_atom_site_fract_y
_atom_site_fract_z
Sm1 Sm 0.132 0.132 0.745
Sm2 Sm 0.239 0.713 0.000
Sm3 Sm 0.287 0.287 0.526
Sm4 Sm 0.387 0.387 0.255
Sm5 Sm 0.613 0.868 0.000
Sm6 Sm 0.713 0.239 0.000
Sm7 Sm 0.761 0.761 0.474
Sm8 Sm 0.868 0.613 0.000
Er1 Er 0.000 0.000 0.000
Er2 Er 0.250 0.750 0.500
Er3 Er 0.750 0.250 0.500
Sc1 Sc 0.500 0.500 0.000
```

The formation enthalpy at 0 K is 585 meV/atom.

Record 4
Compound: SmEr4Sc2
Source: Alexandria
Functional: PBE-GGA
Structure: relaxed

CIF file:
```
data_SmEr4Sc2
_chemical_formula_sum 'Sm1 Er4 Sc2'
_cell_length_a 19.516
_cell_length_b 19.516
_cell_length_c 19.516
_cell_angle_alpha 10.24
_cell_angle_beta 10.24
_cell_angle_gamma 10.24
_symmetry_space_group_name_H-M 'P 1'
_symmetry_Int_Tables_number 1
_symmetry_space_group_name_Hall 'P 1'
loop_
_atom_site_label
_atom_site_type_symbol
_atom_site_fract_x
_atom_site_fract_y
_atom_site_fract_z
Sm1 Sm 0.000 0.000 0.000
Er1 Er 0.099 0.099 0.099
Er2 Er 0.383 0.383 0.383
Er3 Er 0.617 0.617 0.617
Er4 Er 0.901 0.901 0.901
Sc1 Sc 0.188 0.188 0.188
Sc2 Sc 0.812 0.812 0.812
```

Its energy above the most stable polymorph in this dataset is 0.00 eV per formula unit. The formation enthalpy at 0 K is 25 meV/atom.

Record 5
Compound: Sm4Er3Sc2
Source: Alexandria
Functional: PBE-GGA
Structure: relaxed

CIF file:
```
data_Sm4Er3Sc2
_chemical_formula_sum 'Sm8 Er6 Sc4'
_cell_length_a 9.601
_cell_length_b 9.601
_cell_length_c 6.931
_cell_angle_alpha 90.00
_cell_angle_beta 90.00
_cell_angle_gamma 120.75
_symmetry_space_group_name_H-M 'P 1'
_symmetry_Int_Tables_number 1
_symmetry_space_group_name_Hall 'P 1'
loop_
_atom_site_label
_atom_site_type_symbol
_atom_site_fract_x
_atom_site_fract_y
_atom_site_fract_z
Sm1 Sm 0.151 0.182 0.000
Sm2 Sm 0.163 0.484 0.500
Sm3 Sm 0.182 0.151 0.500
Sm4 Sm 0.484 0.163 0.000
Sm5 Sm 0.516 0.837 0.000
Sm6 Sm 0.818 0.849 0.500
Sm7 Sm 0.837 0.516 0.500
Sm8 Sm 0.849 0.818 0.000
Er1 Er 0.174 0.826 0.250
Er2 Er 0.174 0.826 0.750
Er3 Er 0.500 0.500 0.250
Er4 Er 0.500 0.500 0.750
Er5 Er 0.826 0.174 0.250
Er6 Er 0.826 0.174 0.750
Sc1 Sc 0.169 0.518 0.000
Sc2 Sc 0.482 0.831 0.500
Sc3 Sc 0.518 0.169 0.500
Sc4 Sc 0.831 0.482 0.000
```

The formation enthalpy at 0 K is 60 meV/atom.

Record 6
Compound: Sm7Er2Sc3
Source: Alexandria
Functional: PBE-GGA
Structure: relaxed

CIF file:
```
data_Sm7Er2Sc3
_chemical_formula_sum 'Sm7 Er2 Sc3'
_cell_length_a 18.748
_cell_length_b 18.748
_cell_length_c 3.540
_cell_angle_alpha 90.00
_cell_angle_beta 90.00
_cell_angle_gamma 162.35
_symmetry_space_group_name_H-M 'P 1'
_symmetry_Int_Tables_number 1
_symmetry_space_group_name_Hall 'P 1'
loop_
_atom_site_label
_atom_site_type_symbol
_atom_site_fract_x
_atom_site_fract_y
_atom_site_fract_z
Sm1 Sm 0.000 0.000 0.000
Sm2 Sm 0.093 0.907 0.500
Sm3 Sm 0.271 0.729 0.000
Sm4 Sm 0.428 0.572 0.000
Sm5 Sm 0.572 0.428 0.000
Sm6 Sm 0.729 0.271 0.000
Sm7 Sm 0.907 0.093 0.500
Er1 Er 0.177 0.823 0.000
Er2 Er 0.823 0.177 0.000
Sc1 Sc 0.350 0.650 0.500
Sc2 Sc 0.500 0.500 0.500
Sc3 Sc 0.650 0.350 0.500
```

The formation enthalpy at 0 K is 158 meV/atom.

Record 7
Compound: Sm2Er5Sc2
Source: Alexandria
Functional: PBE-GGA
Structure: relaxed

CIF file:
```
data_Sm2Er5Sc2
_chemical_formula_sum 'Sm4 Er10 Sc4'
_cell_length_a 10.209
_cell_length_b 10.209
_cell_length_c 10.209
_cell_angle_alpha 84.94
_cell_angle_beta 104.75
_cell_angle_gamma 146.47
_symmetry_space_group_name_H-M 'P 1'
_symmetry_Int_Tables_number 1
_symmetry_space_group_name_Hall 'P 1'
loop_
_atom_site_label
_atom_site_type_symbol
_atom_site_fract_x
_atom_site_fract_y
_atom_site_fract_z
Sm1 Sm 0.000 0.000 0.000
Sm2 Sm 0.000 0.500 0.500
Sm3 Sm 0.814 0.611 0.703
Sm4 Sm 0.909 0.111 0.297
Er1 Er 0.072 0.523 0.834
Er2 Er 0.072 0.738 0.049
Er3 Er 0.143 0.077 0.566
Er4 Er 0.362 0.085 0.362
Er5 Er 0.362 0.500 0.777
Er6 Er 0.511 0.577 0.434
Er7 Er 0.689 0.023 0.951
Er8 Er 0.689 0.238 0.166
Er9 Er 0.723 0.000 0.638
Er10 Er 0.723 0.585 0.223
Sc1 Sc 0.344 0.541 0.095
Sc2 Sc 0.344 0.750 0.304
Sc3 Sc 0.446 0.041 0.696
Sc4 Sc 0.446 0.250 0.905
```

The formation enthalpy at 0 K is 193 meV/atom.

Record 8
Compound: Sm3Er2Sc2
Source: Alexandria
Functional: PBE-GGA
Structure: relaxed

CIF file:
```
data_Sm3Er2Sc2
_chemical_formula_sum 'Sm3 Er2 Sc2'
_cell_length_a 8.689
_cell_length_b 8.689
_cell_length_c 8.308
_cell_angle_alpha 117.92
_cell_angle_beta 117.92
_cell_angle_gamma 22.72
_symmetry_space_group_name_H-M 'P 1'
_symmetry_Int_Tables_number 1
_symmetry_space_group_name_Hall 'P 1'
loop_
_atom_site_label
_atom_site_type_symbol
_atom_site_fract_x
_atom_site_fract_y
_atom_site_fract_z
Sm1 Sm 0.000 0.000 0.000
Sm2 Sm 0.213 0.213 0.301
Sm3 Sm 0.787 0.787 0.699
Er1 Er 0.139 0.139 0.812
Er2 Er 0.861 0.861 0.188
Sc1 Sc 0.436 0.436 0.589
Sc2 Sc 0.564 0.564 0.411
```

The formation enthalpy at 0 K is 130 meV/atom.

Record 9
Compound: Sm5Er2Sc
Source: Alexandria
Functional: PBE-GGA
Structure: relaxed

CIF file:
```
data_Sm5Er2Sc
_chemical_formula_sum 'Sm10 Er4 Sc2'
_cell_length_a 8.919
_cell_length_b 8.919
_cell_length_c 8.919
_cell_angle_alpha 118.73
_cell_angle_beta 118.73
_cell_angle_gamma 92.21
_symmetry_space_group_name_H-M 'P 1'
_symmetry_Int_Tables_number 1
_symmetry_space_group_name_Hall 'P 1'
loop_
_atom_site_label
_atom_site_type_symbol
_atom_site_fract_x
_atom_site_fract_y
_atom_site_fract_z
Sm1 Sm 0.000 0.000 0.000
Sm2 Sm 0.013 0.513 0.196
Sm3 Sm 0.183 0.987 0.500
Sm4 Sm 0.317 0.817 0.804
Sm5 Sm 0.487 0.683 0.500
Sm6 Sm 0.500 0.500 0.000
Sm7 Sm 0.513 0.317 0.500
Sm8 Sm 0.683 0.183 0.196
Sm9 Sm 0.817 0.013 0.500
Sm10 Sm 0.987 0.487 0.804
Er1 Er 0.143 0.357 0.500
Er2 Er 0.357 0.857 0.213
Er3 Er 0.643 0.143 0.787
Er4 Er 0.857 0.643 0.500
Sc1 Sc 0.250 0.250 0.000
Sc2 Sc 0.750 0.750 0.000
```

Its energy above the most stable polymorph in this dataset is 0.00 eV per formula unit. The formation enthalpy at 0 K is 116 meV/atom.